The following is a DFT calculation (GGA+U) of crystalline K2Al3VF12 at its relaxed geometry.

Computed properties:
SG = No. 166
N(E_F) = 1.80 states/eV per cell
Final energy = -5.53 eV per atom

extended XYZ file:
```
18
Lattice="3.563 2.057 5.991 -3.563 2.057 5.991 0.000 -4.115 5.991" Properties=species:S:1:pos:R:3 pbc="T T T"
K 0.000 0.000 2.360
K 0.000 0.000 15.614
Al -1.782 -1.029 5.991
Al -1.782 1.029 11.983
Al 0.000 2.057 5.991
V 0.000 0.000 8.987
F -1.545 -0.892 7.788
F 0.000 -1.535 5.774
F -1.329 0.767 5.774
F 0.000 -1.784 10.186
F -1.545 0.892 10.186
F -1.329 -0.767 12.200
F 1.329 0.767 5.774
F 1.545 -0.892 7.788
F 0.000 1.784 7.788
F 1.329 -0.767 12.200
F 0.000 1.535 12.200
F 1.545 0.892 10.186
```